No. 1
ScZnHg3 | GGA-PBE | optimized geometry

Values from the calculation:
- SG: Pm-3m (221)
- V: 25.245 Å³ per atom
- Excess energy over the best structure of this formula in the dataset: 0.0 meV/atom

Lattice parameters (Å, degrees): 5.016 5.016 5.016 90.00 90.00 90.00
Fractional coordinates of all 5 atoms:
1 Zn 0.000 0.000 0.000
2 Hg 0.000 0.000 0.500
3 Sc 0.500 0.500 0.500
4 Hg 0.000 0.500 0.000
5 Hg 0.500 0.000 0.000

No. 2
Sc6Zn3Hg | GGA-PBE | optimized geometry

Values from the calculation:
- E_tot: -89.8 eV per cell
- SG: P2_1/m (11)
- V: 20.612 Å³ per atom

Lattice parameters (Å, degrees): 4.773 8.567 10.562 107.33 90.00 90.00
Fractional coordinates of all 20 atoms:
1 Sc 0.250 0.128 0.169
2 Sc 0.250 0.118 0.888
3 Zn 0.250 0.529 0.380
4 Zn 0.750 0.622 0.217
5 Sc 0.750 0.882 0.112
6 Zn 0.750 0.226 0.028
7 Sc 0.750 0.166 0.691
8 Sc 0.750 0.737 0.500
9 Sc 0.750 0.534 0.904
10 Sc 0.750 0.872 0.831
11 Zn 0.750 0.471 0.620
12 Zn 0.250 0.378 0.783
13 Sc 0.250 0.263 0.500
14 Zn 0.250 0.774 0.972
15 Hg 0.750 0.056 0.385
16 Sc 0.250 0.644 0.681
17 Sc 0.750 0.356 0.319
18 Sc 0.250 0.466 0.096
19 Hg 0.250 0.944 0.615
20 Sc 0.250 0.834 0.309

No. 3
Sc2ZnHg | GGA-PBE | optimized geometry

Values from the calculation:
- SG: Imm2 (44)
- V: 20.682 Å³ per atom
- Excess energy over the best structure of this formula in the dataset: 136.8 meV/atom

Lattice parameters (Å, degrees): 5.866 5.866 5.866 146.60 131.27 60.36
Each line ends with the local moment (μB).
Fractional coordinates of all 4 atoms:
1 Sc 0.267 0.767 0.500  0.14
2 Zn 0.511 0.511 0.000  0.01
3 Hg 0.729 0.229 0.500  0.01
4 Sc 0.993 0.993 0.000  0.22

No. 4
Sc2Zn2Hg | GGA-PBE | optimized geometry

Values from the calculation:
- SG: P4/mbm (127)
- V: 21.208 Å³ per atom
- Excess energy over the best structure of this formula in the dataset: 245.1 meV/atom

Lattice parameters (Å, degrees): 7.820 7.820 3.468 90.00 90.00 90.00
Fractional coordinates of all 10 atoms:
1 Sc 0.349 0.849 0.000
2 Sc 0.849 0.651 0.000
3 Sc 0.151 0.349 0.000
4 Zn 0.144 0.644 0.500
5 Hg 0.000 0.000 0.000
6 Zn 0.356 0.144 0.500
7 Zn 0.644 0.856 0.500
8 Hg 0.500 0.500 0.000
9 Sc 0.651 0.151 0.000
10 Zn 0.856 0.356 0.500

No. 5
Sc2ZnHg | GGA-PBE | optimized geometry

Values from the calculation:
- SG: F-43m (216)
- V: 20.243 Å³ per atom
- Excess energy over the best structure of this formula in the dataset: 364.9 meV/atom

Lattice parameters (Å, degrees): 4.856 4.856 4.856 60.00 60.00 60.00
Each line ends with the local moment (μB).
Fractional coordinates of all 4 atoms:
1 Hg 0.500 0.500 0.500  0.01
2 Zn 0.750 0.750 0.750  0.01
3 Sc 0.000 0.000 0.000  0.69
4 Sc 0.250 0.250 0.250  0.61

No. 6
Sc3Zn3Hg2 | GGA-PBE | optimized geometry

Values from the calculation:
- E_tot: -51.4 eV per cell
- SG: Cmcm (63)
- V: 19.980 Å³ per atom

Lattice parameters (Å, degrees): 4.350 5.745 13.821 90.00 90.00 112.25
Fractional coordinates of all 16 atoms:
1 Sc 0.072 0.145 0.610
2 Hg 0.781 0.562 0.603
3 Zn 0.597 0.195 0.047
4 Zn 0.403 0.805 0.547
5 Sc 0.072 0.145 0.890
6 Hg 0.781 0.562 0.897
7 Sc 0.928 0.855 0.110
8 Zn 0.403 0.805 0.953
9 Zn 0.597 0.195 0.453
10 Hg 0.219 0.438 0.103
11 Hg 0.219 0.438 0.397
12 Sc 0.928 0.855 0.390
13 Sc 0.332 0.663 0.750
14 Zn 0.394 0.788 0.250
15 Sc 0.668 0.337 0.250
16 Zn 0.606 0.212 0.750

No. 7
Sc2ZnHg | GGA-PBE | optimized geometry

Values from the calculation:
- SG: R-3m (166)
- V: 23.841 Å³ per atom
- Excess energy over the best structure of this formula in the dataset: 547.8 meV/atom

Lattice parameters (Å, degrees): 10.709 10.709 10.709 17.36 17.36 17.36
Fractional coordinates of all 4 atoms:
1 Sc 0.909 0.909 0.909
2 Sc 0.091 0.091 0.091
3 Hg 0.500 0.500 0.500
4 Zn 0.000 0.000 0.000

No. 8
Sc4ZnHg2 | GGA-PBE | optimized geometry

Values from the calculation:
- E_tot: -28.9 eV per cell
- SG: R-3m (166)
- V: 22.798 Å³ per atom

Lattice parameters (Å, degrees): 4.837 4.837 8.356 73.17 73.17 60.00
Fractional coordinates of all 7 atoms:
1 Sc 0.377 0.377 0.870
2 Sc 0.623 0.623 0.130
3 Sc 0.874 0.874 0.378
4 Hg 0.750 0.750 0.750
5 Sc 0.126 0.126 0.622
6 Zn 0.000 0.000 0.000
7 Hg 0.250 0.250 0.250

No. 9
ScZnHg2 | GGA-PBE | optimized geometry

Values from the calculation:
- E_tot: -16.8 eV per cell
- SG: I-42d (122)
- V: 22.484 Å³ per atom

Lattice parameters (Å, degrees): 7.707 7.707 6.234 51.82 51.82 90.00
Fractional coordinates of all 8 atoms:
1 Sc 0.500 0.500 0.000
2 Hg 0.650 0.125 0.250
3 Zn 0.750 0.250 0.500
4 Hg 0.375 0.350 0.750
5 Sc 0.250 0.750 0.500
6 Hg 0.100 0.625 0.250
7 Hg 0.875 0.900 0.750
8 Zn 0.000 0.000 0.000

No. 10
Sc2ZnHg | GGA-PBE | optimized geometry

Values from the calculation:
- SG: P4mm (99)
- V: 20.958 Å³ per atom
- Excess energy over the best structure of this formula in the dataset: 176.1 meV/atom

Lattice parameters (Å, degrees): 3.645 3.645 6.309 90.00 90.00 90.00
Each line ends with the local moment (μB).
Fractional coordinates of all 4 atoms:
1 Sc 0.500 0.500 0.277  0.17
2 Hg 0.500 0.500 0.750  0.00
3 Zn 0.000 0.000 0.485  0.00
4 Sc 0.000 0.000 0.988  0.20

No. 11
ScZnHg2 | GGA-PBE | optimized geometry

Values from the calculation:
- E_tot: -8.5 eV per cell
- SG: R3m (160)
- V: 21.987 Å³ per atom

Lattice parameters (Å, degrees): 3.423 3.423 8.892 78.90 78.90 60.00
Fractional coordinates of all 4 atoms:
1 Hg 0.080 0.080 0.761
2 Sc 0.500 0.500 0.501
3 Hg 0.254 0.254 0.238
4 Zn 0.667 0.667 0.000

No. 12
Sc2Zn2Hg | GGA-PBE | optimized geometry

Values from the calculation:
- SG: I4/mmm (139)
- V: 21.138 Å³ per atom
- Excess energy over the best structure of this formula in the dataset: 261.5 meV/atom

Lattice parameters (Å, degrees): 3.576 3.576 8.642 78.06 78.06 90.00
Fractional coordinates of all 5 atoms:
1 Zn 0.750 0.250 0.500
2 Sc 0.604 0.604 0.793
3 Zn 0.250 0.750 0.500
4 Hg 0.000 0.000 0.000
5 Sc 0.396 0.396 0.207

No. 13
Sc2ZnHg | GGA-PBE | optimized geometry

Values from the calculation:
- SG: Fm-3m (225)
- V: 20.441 Å³ per atom
- Excess energy over the best structure of this formula in the dataset: 16.3 meV/atom

Lattice parameters (Å, degrees): 4.872 4.872 4.872 60.00 60.00 60.00
Fractional coordinates of all 4 atoms:
1 Hg 0.500 0.500 0.500
2 Zn 0.000 0.000 0.000
3 Sc 0.250 0.250 0.250
4 Sc 0.750 0.750 0.750

No. 14
Sc2Zn3Hg | GGA-PBE | optimized geometry

Values from the calculation:
- SG: Imm2 (44)
- V: 19.968 Å³ per atom
- Excess energy over the best structure of this formula in the dataset: 142.8 meV/atom

Lattice parameters (Å, degrees): 4.193 3.438 8.742 101.34 103.88 90.00
Fractional coordinates of all 6 atoms:
1 Zn 0.564 0.564 0.129
2 Sc 0.138 0.138 0.276
3 Zn 0.285 0.785 0.570
4 Hg 0.446 0.946 0.892
5 Zn 0.711 0.711 0.422
6 Sc 0.856 0.356 0.711

No. 15
Sc2ZnHg | GGA-PBE | optimized geometry

Values from the calculation:
- SG: I-4m2 (119)
- V: 20.561 Å³ per atom
- Excess energy over the best structure of this formula in the dataset: 194.8 meV/atom

Lattice parameters (Å, degrees): 5.557 5.557 5.557 135.81 135.81 64.27
Fractional coordinates of all 4 atoms:
1 Sc 0.000 0.000 0.000
2 Sc 0.250 0.750 0.500
3 Hg 0.750 0.250 0.500
4 Zn 0.500 0.500 0.000

No. 16
ScZnHg4 | GGA-PBE | optimized geometry

Values from the calculation:
- E_tot: -7.7 eV per cell
- SG: F-43m (216)
- V: 23.823 Å³ per atom

Lattice parameters (Å, degrees): 5.869 5.869 5.869 60.00 60.00 60.00
Fractional coordinates of all 6 atoms:
1 Hg 0.375 0.375 0.375
2 Hg 0.375 0.875 0.375
3 Hg 0.875 0.375 0.375
4 Sc 0.750 0.750 0.750
5 Zn 0.000 0.000 0.000
6 Hg 0.375 0.375 0.875

No. 17
ScZnHg2 | GGA-PBE | optimized geometry

Values from the calculation:
- E_tot: -9.1 eV per cell
- SG: P4/mmm (123)
- V: 20.472 Å³ per atom

Lattice parameters (Å, degrees): 4.444 4.445 4.146 90.00 90.00 90.00
Fractional coordinates of all 4 atoms:
1 Hg 0.500 0.500 0.000
2 Hg 0.000 0.000 0.000
3 Zn 0.000 0.500 0.500
4 Sc 0.500 0.000 0.500

No. 18
Sc2ZnHg | GGA-PBE | optimized geometry

Values from the calculation:
- SG: Immm (71)
- V: 24.163 Å³ per atom
- Excess energy over the best structure of this formula in the dataset: 780.4 meV/atom

Lattice parameters (Å, degrees): 6.608 6.608 6.608 54.43 151.87 134.42
Fractional coordinates of all 4 atoms:
1 Sc 0.000 0.242 0.242
2 Sc 0.000 0.758 0.758
3 Zn 0.000 0.000 0.000
4 Hg 0.000 0.500 0.500

No. 19
Sc3ZnHg2 | GGA-PBE | optimized geometry

Values from the calculation:
- SG: P4/mmm (123)
- V: 20.769 Å³ per atom
- Excess energy over the best structure of this formula in the dataset: 0.0 meV/atom

Lattice parameters (Å, degrees): 3.406 3.406 10.743 90.00 90.00 90.00
Each line ends with the local moment (μB).
Fractional coordinates of all 6 atoms:
1 Zn 0.500 0.500 0.500  0.00
2 Hg 0.500 0.500 0.178  0.01
3 Hg 0.500 0.500 0.822  0.01
4 Sc 0.000 0.000 0.651  0.01
5 Sc 0.000 0.000 0.000  0.14
6 Sc 0.000 0.000 0.349  0.01

No. 20
Sc6ZnHg5 | GGA-PBE | optimized geometry

Values from the calculation:
- E_tot: -45.8 eV per cell
- SG: P2/m (10)
- V: 21.383 Å³ per atom

Lattice parameters (Å, degrees): 4.935 7.001 7.816 90.00 108.14 90.00
Fractional coordinates of all 12 atoms:
1 Sc 0.164 0.754 0.329
2 Zn 0.000 0.000 0.000
3 Hg 0.662 0.000 0.326
4 Sc 0.500 0.755 0.000
5 Sc 0.836 0.754 0.671
6 Hg 0.000 0.500 0.000
7 Sc 0.500 0.245 0.000
8 Hg 0.666 0.500 0.334
9 Sc 0.164 0.246 0.329
10 Sc 0.836 0.246 0.671
11 Hg 0.334 0.500 0.666
12 Hg 0.338 0.000 0.674

No. 21
Sc2Zn2Hg | GGA-PBE | optimized geometry

Values from the calculation:
- SG: P4/mbm (127)
- V: 19.401 Å³ per atom
- Excess energy over the best structure of this formula in the dataset: 0.0 meV/atom

Lattice parameters (Å, degrees): 7.090 7.090 3.860 90.00 90.00 90.00
Fractional coordinates of all 10 atoms:
1 Zn 0.626 0.126 0.000
2 Zn 0.126 0.374 0.000
3 Zn 0.374 0.874 0.000
4 Sc 0.832 0.332 0.500
5 Sc 0.168 0.668 0.500
6 Sc 0.332 0.168 0.500
7 Sc 0.668 0.832 0.500
8 Zn 0.874 0.626 0.000
9 Hg 0.000 0.000 0.000
10 Hg 0.500 0.500 0.000

No. 22
Sc5ZnHg4 | GGA-PBE | optimized geometry

Values from the calculation:
- E_tot: -38.3 eV per cell
- SG: P4/mmm (123)
- V: 21.228 Å³ per atom

Lattice parameters (Å, degrees): 3.475 3.475 17.580 90.00 90.00 90.00
Fractional coordinates of all 10 atoms:
1 Zn 0.000 0.000 0.000
2 Hg 0.000 0.000 0.808
3 Hg 0.000 0.000 0.601
4 Hg 0.000 0.000 0.192
5 Sc 0.500 0.500 0.091
6 Sc 0.500 0.500 0.500
7 Sc 0.500 0.500 0.909
8 Sc 0.500 0.500 0.704
9 Hg 0.000 0.000 0.399
10 Sc 0.500 0.500 0.296

No. 23
Sc2ZnHg | GGA-PBE | optimized geometry

Values from the calculation:
- SG: I-42d (122)
- V: 22.788 Å³ per atom
- Excess energy over the best structure of this formula in the dataset: 405.7 meV/atom

Lattice parameters (Å, degrees): 7.512 7.512 6.217 52.83 52.83 90.00
Fractional coordinates of all 8 atoms:
1 Sc 0.137 0.625 0.250
2 Sc 0.375 0.387 0.750
3 Hg 0.000 0.000 0.000
4 Zn 0.250 0.750 0.500
5 Zn 0.500 0.500 0.000
6 Sc 0.875 0.863 0.750
7 Hg 0.750 0.250 0.500
8 Sc 0.613 0.125 0.250

No. 24
ScZnHg2 | GGA-PBE | optimized geometry

Values from the calculation:
- E_tot: -8.8 eV per cell
- SG: C2/m (12)
- V: 21.270 Å³ per atom

Lattice parameters (Å, degrees): 4.879 4.879 5.447 74.90 74.90 43.13
Fractional coordinates of all 4 atoms:
1 Hg 0.506 0.506 0.487
2 Sc 0.750 0.750 0.750
3 Hg 0.994 0.994 0.013
4 Zn 0.250 0.250 0.250

No. 25
ScZnHg2 | GGA-PBE | optimized geometry

Values from the calculation:
- E_tot: -8.8 eV per cell
- SG: I-4m2 (119)
- V: 20.119 Å³ per atom

Lattice parameters (Å, degrees): 4.856 4.856 4.856 120.41 120.41 89.28
Fractional coordinates of all 4 atoms:
1 Hg 0.250 0.750 0.500
2 Sc 0.500 0.500 0.000
3 Hg 0.000 0.000 0.000
4 Zn 0.750 0.250 0.500